Material: Ag2SbPb
Method: DFT, PBE
State: relaxed

Cell lengths 5.7845, 5.7845, 5.7845 Å; angles 135.22, 135.22, 65.19 degrees
With the nearest neighbours (Å) after each atom.
Element x y z (fractional)
Ag 0.2500 0.7500 0.5000  4 Sb 3.12, 4 Pb 3.29, 4 Ag 3.29
Ag 0.0000 0.0000 0.0000  4 Pb 3.12, 4 Ag 3.29, 4 Sb 3.29
Pb 0.5000 0.5000 0.0000  8 Ag 3.12-3.29, 4 Sb 3.29
Sb 0.7500 0.2500 0.5000  8 Ag 3.12-3.29, 4 Pb 3.29

Summary:
Uncorrected formation energy, eV per atom: 0.135
ρ, g cm⁻³: 9.56
Density of states at the Fermi level, states/eV per cell: 1.23
Magnetization, μB/atom: 0.000